Entry from the Alexandria database: a geometry-optimized Pu3Ge3Pt structure (GGA-PBE).

As for the total energy: -125.34 eV/cell. The value obtained for the total magnetic moment is 0.000 μB per atom.

The space group is P6_3/m (No. 176) and the conventional cell measures 9.4471, 9.4471 and 3.6136 Å, with angles of 90.00, 90.00 and 120.00 degrees. The distinct sites, in fractional coordinates, are Pu at (0.0689, 0.4830, 0.2500), Ge at (0.0612, 0.8126, 0.2500) and Pt at (0.3333, 0.6667, 0.7500).